(1)
The following is a DFT calculation (PBE) of an optimized crystal structure of YTa2As2.

Values from the calculation:
Raw total energy   -8.473 eV/atom

Structure (extended XYZ):
```
5
Lattice="-1.980 1.980 6.454 1.980 -1.980 6.454 1.980 1.980 -6.454" Properties=species:S:1:pos:R:3 pbc="T T T"
As 0.000 0.000 5.014
As 0.000 0.000 7.893
Ta 0.000 1.980 3.227
Ta 1.980 0.000 3.227
Y 0.000 0.000 0.000
```

(2)
The following is a DFT calculation (PBE) of an optimized crystal structure of Y5Co2.

Values from the calculation:
Formation energy from the elements   -0.16 eV/atom

Structure (extended XYZ):
```
14
Lattice="-8.148 -2.396 -1.444 -6.138 -4.298 4.252 -1.511 6.261 2.624" Properties=species:S:1:pos:R:3 pbc="T T T"
Co -9.277 -3.233 0.697
Co -6.621 0.479 0.998
Co -9.177 -0.912 4.434
Co -6.520 2.800 4.736
Y -6.710 -1.413 -0.873
Y -4.207 -0.884 1.676
Y -7.380 -1.915 2.458
Y -10.558 -2.942 3.231
Y -9.914 -0.654 0.512
Y -5.884 0.221 4.921
Y -5.240 2.509 2.201
Y -8.417 1.482 2.975
Y -11.591 0.451 3.757
Y -9.087 0.980 6.306
```

(3)
The following is a DFT calculation (PBE) of an optimized crystal structure of Zr5GeSb3.

Values from the calculation:
Raw total energy   -7.434 eV/atom

Structure (extended XYZ):
```
18
Lattice="8.687 0.000 0.000 -4.344 7.524 0.000 0.000 0.000 5.894" Properties=species:S:1:pos:R:3 pbc="T T T"
Ge 0.000 0.000 0.000
Ge 0.000 0.000 2.947
Sb 5.264 0.000 1.473
Sb 1.712 2.965 1.473
Sb -2.632 4.559 1.473
Sb 3.424 0.000 4.420
Sb -1.712 2.965 4.420
Sb 2.632 4.559 4.420
Zr 4.344 2.508 0.000
Zr 0.000 5.016 0.000
Zr 2.299 0.000 1.473
Zr -1.149 1.991 1.473
Zr 3.194 5.533 1.473
Zr 4.344 2.508 2.947
Zr 0.000 5.016 2.947
Zr 6.389 0.000 4.420
Zr 1.149 1.991 4.420
Zr -3.194 5.533 4.420
```

(4)
The following is a DFT calculation (PBE) of an optimized crystal structure of MgNiHgB.

Values from the calculation:
Raw total energy   -2.871 eV/atom

Structure (extended XYZ):
```
4
Lattice="0.000 3.056 3.056 3.056 0.000 3.056 3.056 3.056 0.000" Properties=species:S:1:pos:R:3 pbc="T T T"
B 0.000 0.000 0.000
Hg 4.584 4.584 4.584
Mg 1.528 1.528 1.528
Ni 3.056 3.056 3.056
```

(5)
The following is a DFT calculation (PBE) of an optimized crystal structure of Na2HfTeO2.

Values from the calculation:
Raw total energy   -6.185 eV/atom

Structure (extended XYZ):
```
12
Lattice="3.191 0.911 5.590 -3.366 -5.351 -1.515 5.516 -0.589 -4.572" Properties=species:S:1:pos:R:3 pbc="T T T"
Hf 1.871 -0.349 4.159
Hf -2.046 -4.090 -0.085
Na -0.088 -2.220 2.037
Na 2.758 -0.294 -2.286
Na 4.079 -1.169 1.278
Na 1.261 -3.860 -1.775
O 2.125 -2.316 3.800
O -0.487 -4.811 0.969
O 5.828 -0.218 -1.467
O 3.216 -2.712 -4.297
Te 1.370 -1.287 -0.129
Te 3.971 -3.741 -0.368
```

(6)
The following is a DFT calculation (PBE) of an optimized crystal structure of AlCdCuRe.

Values from the calculation:
Raw total energy   -4.773 eV/atom

Structure (extended XYZ):
```
4
Lattice="0.000 3.134 3.134 3.134 0.000 3.134 3.134 3.134 0.000" Properties=species:S:1:pos:R:3 pbc="T T T"
Al 0.000 0.000 0.000
Cd 3.134 3.134 3.134
Cu 4.701 4.701 4.701
Re 1.567 1.567 1.567
```

(7)
The following is a DFT calculation (PBE) of an optimized crystal structure of AlZnAu2.

Values from the calculation:
Raw total energy   -2.974 eV/atom

Structure (extended XYZ):
```
4
Lattice="0.000 3.232 3.232 3.232 0.000 3.232 3.232 3.232 0.000" Properties=species:S:1:pos:R:3 pbc="T T T"
Al 3.232 3.232 3.232
Au 0.000 0.000 0.000
Au 4.848 4.848 4.848
Zn 1.616 1.616 1.616
```

(8)
The following is a DFT calculation (PBE) of an optimized crystal structure of Hf3As5Au.

Values from the calculation:
Raw total energy   -6.399 eV/atom

Structure (extended XYZ):
```
9
Lattice="-2.473 5.792 -0.661 0.584 -2.554 5.765 5.606 2.453 0.519" Properties=species:S:1:pos:R:3 pbc="T T T"
As -0.368 3.485 1.581
As 0.651 0.703 3.724
As 2.803 1.227 0.260
As 3.064 4.987 1.899
As 4.083 2.205 4.042
Au 0.000 0.000 0.000
Hf 1.566 4.123 -0.071
Hf 3.095 -0.051 3.142
Hf 1.858 2.845 2.812
```

(9)
The following is a DFT calculation (PBE) of an optimized crystal structure of Lu2Hf.

Values from the calculation:
Formation energy from the elements   2.70 eV/atom

Structure (extended XYZ):
```
6
Lattice="4.703 2.715 7.680 -4.703 2.715 7.680 0.000 -5.431 7.680" Properties=species:S:1:pos:R:3 pbc="T T T"
Hf 0.000 0.000 5.760
Hf 0.000 0.000 11.521
Lu -2.352 1.358 12.481
Lu 0.000 0.000 8.640
Lu 2.352 1.358 12.481
Lu 0.000 -2.715 12.481
```

(10)
The following is a DFT calculation (PBE) of an optimized crystal structure of DyYAsI2.

Values from the calculation:
Raw total energy   -5.241 eV/atom

Structure (extended XYZ):
```
5
Lattice="4.177 0.000 0.000 -2.088 3.617 0.000 0.000 0.000 10.891" Properties=species:S:1:pos:R:3 pbc="T T T"
As 0.000 0.000 10.885
Dy 0.000 2.411 9.353
I 0.000 2.411 3.559
I 2.088 1.206 7.337
Y 2.088 1.206 1.539
```

(11)
The following is a DFT calculation (PBE) of an optimized crystal structure of SmMgS2.

Values from the calculation:
Raw total energy   -5.204 eV/atom

Structure (extended XYZ):
```
4
Lattice="3.911 0.000 0.000 0.000 3.911 0.000 0.000 0.000 5.574" Properties=species:S:1:pos:R:3 pbc="T T T"
Mg 0.000 0.000 0.000
S 1.956 1.956 0.000
S 0.000 0.000 2.787
Sm 1.956 1.956 2.787
```

(12)
The following is a DFT calculation (PBE) of an optimized crystal structure of CdTePdO.

Values from the calculation:
Raw total energy   -3.939 eV/atom

Structure (extended XYZ):
```
8
Lattice="0.996 4.283 5.299 -1.006 1.360 6.675 5.117 -2.868 1.356" Properties=species:S:1:pos:R:3 pbc="T T T"
Cd 0.173 1.585 3.620
Cd 2.728 2.427 9.126
O 0.177 4.928 10.727
O 2.743 -0.927 2.024
Pd 1.455 4.822 12.361
Pd 4.023 -2.254 1.067
Te 0.178 3.385 7.449
Te 2.739 0.618 5.300
```